First-principles (GGA-PBE) data for a relaxed Sm2PuPaN6 crystal, as listed in the Alexandria database.

Cell and atoms, written as POSCAR:
```
Sm2PuPaN6
1.0
2.975 1.718 4.859
-2.975 1.718 4.859
0.000 -3.436 4.859
Sm Pu Pa N
2 1 1 6
direct
0.000 0.000 0.000
0.498 0.498 0.498
0.728 0.728 0.728
0.231 0.231 0.231
0.068 0.462 0.874
0.388 0.939 0.590
0.462 0.874 0.068
0.590 0.388 0.939
0.874 0.068 0.462
0.939 0.590 0.388
```

- crystal system = trigonal
- volume (Å³/atom) = 14.9
- total moment (μB/f.u.) = 1.0
- mass density (g cm⁻³) = 9.58
- E_form (uncorrected) (kJ/mol of formula units) = -1199